# 1
First-principles (PBE) data for an optimized crystal structure of AgB2Au, as listed in OQMD.

Cell lengths 4.2710, 4.2710, 4.2710 Å; angles 60.00, 60.00, 60.00 degrees
Closest atoms and distances in Å follow each position.
Sites, in units of the cell vectors:
Ag 0.0000 0.0000 0.0000  4 Au 2.62, 4 B 2.62
B 0.2500 0.2500 0.2500  4 B 2.62, 4 Ag 2.62
B 0.5000 0.5000 0.5000  4 Au 2.62, 4 B 2.62
Au 0.7500 0.7500 0.7500  4 Ag 2.62, 4 B 2.62

Total energy = -12.90 eV for the cell shown



# 2
First-principles (PBE) data for an optimized crystal structure of AgB2Au2, as listed in OQMD.

Cell lengths 5.1838, 5.1838, 5.1838 Å; angles 134.62, 134.62, 66.12 degrees
Closest atoms and distances in Å follow each position.
Sites, in units of the cell vectors:
Ag 0.0000 0.0000 0.0000  8 B 2.94, 8 Au 2.95
B 0.4065 0.4065 0.0000  1 B 1.63
B 0.5935 0.5935 0.0000  1 B 1.63
Au 0.2500 0.7500 0.5000  4 B 2.42
Au 0.7500 0.2500 0.5000  4 B 2.42

Total energy = -20.01 eV for the cell shown



# 3
First-principles (PBE) data for an optimized crystal structure of FeAgBAu, as listed in OQMD.

Cell lengths 4.3281, 4.3281, 4.3281 Å; angles 60.00, 60.00, 60.00 degrees
Closest atoms and distances in Å follow each position.
Sites, in units of the cell vectors:
Fe 0.0000 0.0000 0.0000  4 B 2.65, 4 Au 2.65
Ag 0.5000 0.5000 0.5000  4 B 2.65, 4 Au 2.65
B 0.7500 0.7500 0.7500  4 Ag 2.65, 4 Fe 2.65
Au 0.2500 0.2500 0.2500  4 Ag 2.65, 4 Fe 2.65

Total energy = -17.58 eV for the cell shown



# 4
First-principles (PBE) data for an optimized crystal structure of AgBH6Au, as listed in OQMD.

Cell lengths 4.6906, 4.6906, 4.6906 Å; angles 60.00, 60.00, 60.00 degrees
Closest atoms and distances in Å follow each position.
Sites, in units of the cell vectors:
Ag 0.0000 0.0000 0.0000  6 H 1.82
B 0.7500 0.7500 0.7500  12 H 2.35
H 0.2750 0.2750 0.7250  1 Ag 1.82
H 0.2750 0.7250 0.2750  1 Ag 1.82
H 0.2750 0.7250 0.7250  1 Ag 1.82
H 0.7250 0.2750 0.2750  1 Ag 1.82
H 0.7250 0.2750 0.7250  1 Ag 1.82
H 0.7250 0.7250 0.2750  1 Ag 1.82
Au 0.2500 0.2500 0.2500  12 H 2.35

Total energy = -22.57 eV for the cell shown



# 5
First-principles (PBE) data for an optimized crystal structure of InAgBAu, as listed in OQMD.

Cell lengths 4.6244, 4.6244, 4.6244 Å; angles 60.00, 60.00, 60.00 degrees
Closest atoms and distances in Å follow each position.
Sites, in units of the cell vectors:
In 0.0000 0.0000 0.0000  4 B 2.83, 4 Au 2.83
Ag 0.5000 0.5000 0.5000  4 B 2.83, 4 Au 2.83
B 0.7500 0.7500 0.7500  4 In 2.83, 4 Ag 2.83
Au 0.2500 0.2500 0.2500  4 In 2.83, 4 Ag 2.83

Total energy = -12.38 eV for the cell shown



# 6
First-principles (PBE) data for an optimized crystal structure of LuAgBAu, as listed in OQMD.

Cell lengths 4.5919, 4.5919, 4.5919 Å; angles 60.00, 60.00, 60.00 degrees
Closest atoms and distances in Å follow each position.
Sites, in units of the cell vectors:
Lu 0.0000 0.0000 0.0000  4 Au 2.81, 4 Ag 2.81
Ag 0.2500 0.2500 0.2500  4 B 2.81, 4 Lu 2.81
B 0.5000 0.5000 0.5000  4 Au 2.81, 4 Ag 2.81
Au 0.7500 0.7500 0.7500  4 Lu 2.81, 4 B 2.81

Total energy = -16.03 eV for the cell shown



# 7
First-principles (PBE) data for an optimized crystal structure of LuAgBAu, as listed in OQMD.

Cell lengths 4.5594, 4.5594, 4.5594 Å; angles 60.00, 60.00, 60.00 degrees
Closest atoms and distances in Å follow each position.
Sites, in units of the cell vectors:
Lu 0.0000 0.0000 0.0000  4 Ag 2.79, 4 B 2.79
Ag 0.7500 0.7500 0.7500  4 Lu 2.79, 4 Au 2.79
B 0.2500 0.2500 0.2500  4 Au 2.79, 4 Lu 2.79
Au 0.5000 0.5000 0.5000  4 Ag 2.79, 4 B 2.79

Total energy = -16.55 eV for the cell shown



# 8
First-principles (PBE) data for an optimized crystal structure of LuAgBAu, as listed in OQMD.

Cell lengths 4.6039, 4.6039, 4.6039 Å; angles 60.00, 60.00, 60.00 degrees
Closest atoms and distances in Å follow each position.
Sites, in units of the cell vectors:
Lu 0.0000 0.0000 0.0000  4 B 2.82, 4 Au 2.82
Ag 0.5000 0.5000 0.5000  4 B 2.82, 4 Au 2.82
B 0.2500 0.2500 0.2500  4 Ag 2.82, 4 Lu 2.82
Au 0.7500 0.7500 0.7500  4 Lu 2.82, 4 Ag 2.82

Total energy = -16.69 eV for the cell shown



# 9
First-principles (PBE) data for an optimized crystal structure of NiAgBAu, as listed in OQMD.

Cell lengths 4.2126, 4.2126, 4.2126 Å; angles 60.00, 60.00, 60.00 degrees
Closest atoms and distances in Å follow each position.
Sites, in units of the cell vectors:
Ni 0.0000 0.0000 0.0000  4 Ag 2.58, 4 Au 2.58
Ag 0.7500 0.7500 0.7500  4 Ni 2.58, 4 B 2.58
B 0.5000 0.5000 0.5000  4 Ag 2.58, 4 Au 2.58
Au 0.2500 0.2500 0.2500  4 Ni 2.58, 4 B 2.58

Total energy = -15.40 eV for the cell shown



# 10
First-principles (PBE) data for an optimized crystal structure of BaAgAu2, as listed in OQMD.

Cell lengths 5.2491, 5.2491, 5.2491 Å; angles 60.00, 60.00, 60.00 degrees
Closest atoms and distances in Å follow each position.
Sites, in units of the cell vectors:
Ba 0.0000 0.0000 0.0000  4 Ag 3.21, 4 Au 3.21
Ag 0.2500 0.2500 0.2500  4 Au 3.21, 4 Ba 3.21
Au 0.5000 0.5000 0.5000  4 Au 3.21, 4 Ag 3.21
Au 0.7500 0.7500 0.7500  4 Au 3.21, 4 Ba 3.21

Total energy = -12.30 eV for the cell shown



# 11
First-principles (PBE) data for an optimized crystal structure of Ba4Ag3Au, as listed in OQMD.

Cell lengths 6.6206, 4.9875, 8.6450 Å; angles 90.00, 90.07, 90.00 degrees
Closest atoms and distances in Å follow each position.
Sites, in units of the cell vectors:
Ba 0.0000 0.0000 0.0000  5 Ag 3.46-3.61, 2 Au 3.48
Ba 0.2306 0.0000 0.4912  2 Au 3.46, 5 Ag 3.47-3.64
Ba 0.4932 0.5000 0.8604  6 Ag 3.49-3.61, 1 Au 3.49
Ba 0.7319 0.5000 0.3552  2 Au 3.49-3.57, 5 Ag 3.49-3.52
Ag 0.4880 0.0000 0.1422  2 Au 3.06
Ag 0.7429 0.0000 0.6432  2 Ag 3.02
Ag 0.9836 0.5000 0.7113  2 Ag 3.02
Au 0.2378 0.5000 0.2131  2 Ag 3.06

Total energy = -22.59 eV for the cell shown



# 12
First-principles (PBE) data for an optimized crystal structure of BaAgAu, as listed in OQMD.

Cell lengths 6.5148, 6.5148, 6.5148 Å; angles 136.10, 97.23, 98.83 degrees
Closest atoms and distances in Å follow each position.
Sites, in units of the cell vectors:
Ba 0.0000 0.0000 0.0000  6 Ag 3.54-3.55, 6 Au 3.54-3.56
Ba 0.5011 0.0011 0.5000  6 Au 3.54-3.56, 6 Ag 3.55
Ag 0.4163 0.6671 0.7492  3 Au 2.82
Ag 0.9179 0.6671 0.2508  3 Au 2.82
Au 0.0851 0.3347 0.7504  3 Ag 2.82
Au 0.5842 0.3347 0.2496  3 Ag 2.82

Total energy = -19.29 eV for the cell shown